# 1
# Tl8Hg2Bi3 PBE relaxed
data_Tl8Hg2Bi3
_chemical_formula_sum 'Tl16 Hg4 Bi6'
_space_group_name_H-M_alt 'C 1 2/m 1'
_space_group_IT_number 12
_space_group_name_Hall '-C 2y'
_cell_length_a 10.791
_cell_length_b 10.689
_cell_length_c 9.352
_cell_angle_alpha 90.00
_cell_angle_beta 125.10
_cell_angle_gamma 90.00
loop_
_atom_site_label
_atom_site_type_symbol
_atom_site_fract_x
_atom_site_fract_y
_atom_site_fract_z
_atom_site_occupancy
Tl1 Tl 0.115 0.229 0.228 1
Tl2 Tl 0.118 0.000 0.780 1
Tl3 Tl 0.150 0.500 0.767 1
Hg1 Hg 0.232 0.500 0.454 1
Bi1 Bi 0.000 0.248 0.500 1
Bi2 Bi 0.000 0.500 0.000 1
# Formation energy: 4 meV/atom
# Offset from the most stable computed form: 0.0 meV per atom
# VASP energy: -31.12 eV per formula unit

# 2
# Tl4Hg3Bi4 PBE relaxed
data_Tl4Hg3Bi4
_chemical_formula_sum 'Tl8 Hg6 Bi8'
_space_group_name_H-M_alt 'I m m m'
_space_group_IT_number 71
_space_group_name_Hall '-I 2 2'
_cell_length_a 4.293
_cell_length_b 8.806
_cell_length_c 19.623
_cell_angle_alpha 90.00
_cell_angle_beta 90.00
_cell_angle_gamma 90.00
loop_
_atom_site_label
_atom_site_type_symbol
_atom_site_fract_x
_atom_site_fract_y
_atom_site_fract_z
_atom_site_occupancy
Tl1 Tl 0.000 0.000 0.156 1
Tl2 Tl 0.000 0.226 0.500 1
Hg1 Hg 0.000 0.000 0.000 1
Hg2 Hg 0.000 0.500 0.089 1
Bi1 Bi 0.000 0.197 0.304 1
# Formation energy: 36 meV/atom
# VASP energy: -25.49 eV per formula unit

# 3
# Tl2HgBi PBE relaxed
data_Tl2HgBi
_chemical_formula_sum 'Tl8 Hg4 Bi4'
_space_group_name_H-M_alt 'I -4 2 d'
_space_group_IT_number 122
_space_group_name_Hall 'I -4 2bw'
_cell_length_a 8.946
_cell_length_b 8.946
_cell_length_c 6.404
_cell_angle_alpha 90.00
_cell_angle_beta 90.00
_cell_angle_gamma 90.00
loop_
_atom_site_label
_atom_site_type_symbol
_atom_site_fract_x
_atom_site_fract_y
_atom_site_fract_z
_atom_site_occupancy
Tl1 Tl 0.249 0.250 0.125 1
Hg1 Hg 0.000 0.000 0.500 1
Bi1 Bi 0.000 0.000 0.000 1
# Formation energy: 71 meV/atom
# Offset from the most stable computed form: 110.7 meV per atom
# VASP energy: -8.63 eV per formula unit

# 4
# Tl5Hg6Bi PBE relaxed
data_Tl5Hg6Bi
_chemical_formula_sum 'Tl10 Hg12 Bi2'
_space_group_name_H-M_alt 'C 1 2/m 1'
_space_group_IT_number 12
_space_group_name_Hall '-C 2y'
_cell_length_a 12.447
_cell_length_b 10.416
_cell_length_c 5.957
_cell_angle_alpha 90.00
_cell_angle_beta 112.73
_cell_angle_gamma 90.00
loop_
_atom_site_label
_atom_site_type_symbol
_atom_site_fract_x
_atom_site_fract_y
_atom_site_fract_z
_atom_site_occupancy
Tl1 Tl 0.000 0.000 0.000 1
Tl2 Tl 0.000 0.167 0.500 1
Tl3 Tl 0.000 0.335 0.000 1
Hg1 Hg 0.249 0.165 0.260 1
Hg2 Hg 0.250 0.000 0.766 1
Bi1 Bi 0.000 0.500 0.500 1
# Formation energy: 9 meV/atom
# VASP energy: -17.41 eV per formula unit

# 5
# Tl4Hg4Bi PBE relaxed
data_Tl4Hg4Bi
_chemical_formula_sum 'Tl8 Hg8 Bi2'
_space_group_name_H-M_alt 'I -4 2 m'
_space_group_IT_number 121
_space_group_name_Hall 'I -4 2'
_cell_length_a 7.361
_cell_length_b 7.361
_cell_length_c 11.190
_cell_angle_alpha 90.00
_cell_angle_beta 90.00
_cell_angle_gamma 90.00
loop_
_atom_site_label
_atom_site_type_symbol
_atom_site_fract_x
_atom_site_fract_y
_atom_site_fract_z
_atom_site_occupancy
Tl1 Tl 0.000 0.000 0.136 1
Tl2 Tl 0.000 0.500 0.000 1
Hg1 Hg 0.218 0.218 0.692 1
Bi1 Bi 0.000 0.000 0.500 1
# Formation energy: 103 meV/atom
# Offset from the most stable computed form: 119.4 meV per atom
# VASP energy: -13.63 eV per formula unit

# 6
# Tl4Hg5Bi PBE relaxed
data_Tl4Hg5Bi
_chemical_formula_sum 'Tl4 Hg5 Bi1'
_space_group_name_H-M_alt 'P 4/m m m'
_space_group_IT_number 123
_space_group_name_Hall '-P 4 2'
_cell_length_a 3.443
_cell_length_b 3.443
_cell_length_c 24.169
_cell_angle_alpha 90.00
_cell_angle_beta 90.00
_cell_angle_gamma 90.00
loop_
_atom_site_label
_atom_site_type_symbol
_atom_site_fract_x
_atom_site_fract_y
_atom_site_fract_z
_atom_site_occupancy
Tl1 Tl 0.000 0.000 0.101 1
Tl2 Tl 0.000 0.000 0.304 1
Hg1 Hg 0.500 0.500 0.000 1
Hg2 Hg 0.500 0.500 0.201 1
Hg3 Hg 0.500 0.500 0.400 1
Bi1 Bi 0.000 0.000 0.500 1
# Formation energy: 2 meV/atom
# Offset from the most stable computed form: 0.0 meV per atom
# VASP energy: -14.84 eV per formula unit

# 7
# Tl12Hg6Bi PBE relaxed
data_Tl12Hg6Bi
_chemical_formula_sum 'Tl36 Hg18 Bi3'
_space_group_name_H-M_alt 'R -3'
_space_group_IT_number 148
_space_group_name_Hall '-R 3'
_cell_length_a 13.1421
_cell_length_b 13.1421
_cell_length_c 11.8691
_cell_angle_alpha 90.00
_cell_angle_beta 90.00
_cell_angle_gamma 120.00
loop_
_atom_site_label
_atom_site_type_symbol
_atom_site_fract_x
_atom_site_fract_y
_atom_site_fract_z
_atom_site_occupancy
Tl1 Tl 0.0375 0.4900 0.1280 1
Tl2 Tl 0.0845 0.9067 0.7509 1
Hg1 Hg 0.0040 0.2417 0.0088 1
Bi1 Bi 0.0000 0.0000 0.5000 1
# Formation energy: 1 meV/atom
# VASP energy: -34.07 eV per formula unit

# 8
# Tl6Hg6Bi PBE relaxed
data_Tl6Hg6Bi
_chemical_formula_sum 'Tl12 Hg12 Bi2'
_space_group_name_H-M_alt 'C m m m'
_space_group_IT_number 65
_space_group_name_Hall '-C 2 2'
_cell_length_a 6.712
_cell_length_b 11.518
_cell_length_c 10.181
_cell_angle_alpha 90.00
_cell_angle_beta 90.00
_cell_angle_gamma 90.00
loop_
_atom_site_label
_atom_site_type_symbol
_atom_site_fract_x
_atom_site_fract_y
_atom_site_fract_z
_atom_site_occupancy
Tl1 Tl 0.000 0.000 0.167 1
Tl2 Tl 0.250 0.250 0.287 1
Hg1 Hg 0.000 0.124 0.500 1
Hg2 Hg 0.000 0.272 0.000 1
Hg3 Hg 0.000 0.500 0.183 1
Bi1 Bi 0.000 0.500 0.500 1
# Formation energy: 48 meV/atom
# VASP energy: -19.26 eV per formula unit

# 9
# TlHg5Bi2 PBE relaxed
data_TlHg5Bi2
_chemical_formula_sum 'Tl2 Hg10 Bi4'
_space_group_name_H-M_alt 'I 4/m m m'
_space_group_IT_number 139
_space_group_name_Hall '-I 4 2'
_cell_length_a 4.888
_cell_length_b 4.888
_cell_length_c 19.043
_cell_angle_alpha 90.00
_cell_angle_beta 90.00
_cell_angle_gamma 90.00
loop_
_atom_site_label
_atom_site_type_symbol
_atom_site_fract_x
_atom_site_fract_y
_atom_site_fract_z
_atom_site_occupancy
Tl1 Tl 0.000 0.000 0.000 1
Hg1 Hg 0.000 0.000 0.500 1
Hg2 Hg 0.000 0.500 0.123 1
Bi1 Bi 0.000 0.000 0.246 1
# Formation energy: 57 meV/atom
# VASP energy: -11.18 eV per formula unit

# 10
# Tl8Hg3Bi2 PBE relaxed
data_Tl8Hg3Bi2
_chemical_formula_sum 'Tl16 Hg6 Bi4'
_space_group_name_H-M_alt 'C 1 2/m 1'
_space_group_IT_number 12
_space_group_name_Hall '-C 2y'
_cell_length_a 18.059
_cell_length_b 6.496
_cell_length_c 8.160
_cell_angle_alpha 90.00
_cell_angle_beta 107.12
_cell_angle_gamma 90.00
loop_
_atom_site_label
_atom_site_type_symbol
_atom_site_fract_x
_atom_site_fract_y
_atom_site_fract_z
_atom_site_occupancy
Tl1 Tl 0.136 0.250 0.411 1
Tl2 Tl 0.139 0.000 0.840 1
Tl3 Tl 0.163 0.500 0.070 1
Hg1 Hg 0.000 0.000 0.500 1
Hg2 Hg 0.000 0.241 0.000 1
Bi1 Bi 0.241 0.500 0.758 1
# Formation energy: 52 meV/atom
# Offset from the most stable computed form: 35.4 meV per atom
# VASP energy: -26.92 eV per formula unit

# 11
# Tl4Hg2Bi PBE relaxed
data_Tl4Hg2Bi
_chemical_formula_sum 'Tl8 Hg4 Bi2'
_space_group_name_H-M_alt 'P b a m'
_space_group_IT_number 55
_space_group_name_Hall '-P 2 2ab'
_cell_length_a 7.960
_cell_length_b 11.830
_cell_length_c 4.690
_cell_angle_alpha 90.00
_cell_angle_beta 90.00
_cell_angle_gamma 90.00
loop_
_atom_site_label
_atom_site_type_symbol
_atom_site_fract_x
_atom_site_fract_y
_atom_site_fract_z
_atom_site_occupancy
Tl1 Tl 0.117 0.187 0.000 1
Tl2 Tl 0.197 0.939 0.500 1
Hg1 Hg 0.093 0.682 0.500 1
Bi1 Bi 0.000 0.500 0.000 1
# Formation energy: 15 meV/atom
# Offset from the most stable computed form: 30.3 meV per atom
# VASP energy: -13.84 eV per formula unit

# 12
# Tl3Hg8Bi2 PBE relaxed
data_Tl3Hg8Bi2
_chemical_formula_sum 'Tl6 Hg16 Bi4'
_space_group_name_H-M_alt 'C 1 2/m 1'
_space_group_IT_number 12
_space_group_name_Hall '-C 2y'
_cell_length_a 13.552
_cell_length_b 10.631
_cell_length_c 5.846
_cell_angle_alpha 90.00
_cell_angle_beta 113.64
_cell_angle_gamma 90.00
loop_
_atom_site_label
_atom_site_type_symbol
_atom_site_fract_x
_atom_site_fract_y
_atom_site_fract_z
_atom_site_occupancy
Tl1 Tl 0.000 0.000 0.000 1
Tl2 Tl 0.000 0.260 0.500 1
Hg1 Hg 0.086 0.500 0.264 1
Hg2 Hg 0.145 0.000 0.585 1
Hg3 Hg 0.177 0.234 0.195 1
Bi1 Bi 0.182 0.500 0.844 1
# Formation energy: 28 meV/atom
# VASP energy: -16.91 eV per formula unit

# 13
# Tl3HgBi PBE relaxed
data_Tl3HgBi
_chemical_formula_sum 'Tl3 Hg1 Bi1'
_space_group_name_H-M_alt 'P m -3 m'
_space_group_IT_number 221
_space_group_name_Hall '-P 4 2 3'
_cell_length_a 5.714
_cell_length_b 5.714
_cell_length_c 5.714
_cell_angle_alpha 90.00
_cell_angle_beta 90.00
_cell_angle_gamma 90.00
loop_
_atom_site_label
_atom_site_type_symbol
_atom_site_fract_x
_atom_site_fract_y
_atom_site_fract_z
_atom_site_occupancy
Tl1 Tl 0.000 0.000 0.500 1
Hg1 Hg 0.000 0.000 0.000 1
Bi1 Bi 0.500 0.500 0.500 1
# Formation energy: 317 meV/atom
# Offset from the most stable computed form: 322.7 meV per atom
# VASP energy: -9.70 eV per formula unit

# 14
# Tl2Hg8Bi PBE relaxed
data_Tl2Hg8Bi
_chemical_formula_sum 'Tl2 Hg8 Bi1'
_space_group_name_H-M_alt 'P 4/m m m'
_space_group_IT_number 123
_space_group_name_Hall '-P 4 2'
_cell_length_a 5.135
_cell_length_b 5.135
_cell_length_c 12.437
_cell_angle_alpha 90.00
_cell_angle_beta 90.00
_cell_angle_gamma 90.00
loop_
_atom_site_label
_atom_site_type_symbol
_atom_site_fract_x
_atom_site_fract_y
_atom_site_fract_z
_atom_site_occupancy
Tl1 Tl 0.000 0.000 0.179 1
Hg1 Hg 0.000 0.500 0.000 1
Hg2 Hg 0.000 0.500 0.349 1
Hg3 Hg 0.500 0.500 0.183 1
Bi1 Bi 0.000 0.000 0.500 1
# Formation energy: 18 meV/atom
# VASP energy: -10.83 eV per formula unit

# 15
# Tl5Hg3Bi4 PBE relaxed
data_Tl5Hg3Bi4
_chemical_formula_sum 'Tl10 Hg6 Bi8'
_space_group_name_H-M_alt 'C 1 2/m 1'
_space_group_IT_number 12
_space_group_name_Hall '-C 2y'
_cell_length_a 9.321
_cell_length_b 5.862
_cell_length_c 14.601
_cell_angle_alpha 90.00
_cell_angle_beta 102.76
_cell_angle_gamma 90.00
loop_
_atom_site_label
_atom_site_type_symbol
_atom_site_fract_x
_atom_site_fract_y
_atom_site_fract_z
_atom_site_occupancy
Tl1 Tl 0.000 0.000 0.000 1
Tl2 Tl 0.056 0.500 0.622 1
Tl3 Tl 0.211 0.500 0.223 1
Hg1 Hg 0.000 0.500 0.000 1
Hg2 Hg 0.066 0.000 0.284 1
Bi1 Bi 0.175 0.500 0.852 1
Bi2 Bi 0.184 0.000 0.532 1
# Formation energy: 44 meV/atom
# VASP energy: -27.73 eV per formula unit

# 16
# Tl12Hg5Bi2 PBE relaxed
data_Tl12Hg5Bi2
_chemical_formula_sum 'Tl24 Hg10 Bi4'
_space_group_name_H-M_alt 'C 1 2/m 1'
_space_group_IT_number 12
_space_group_name_Hall '-C 2y'
_cell_length_a 14.779
_cell_length_b 9.570
_cell_length_c 8.451
_cell_angle_alpha 90.00
_cell_angle_beta 90.07
_cell_angle_gamma 90.00
loop_
_atom_site_label
_atom_site_type_symbol
_atom_site_fract_x
_atom_site_fract_y
_atom_site_fract_z
_atom_site_occupancy
Tl1 Tl 0.063 0.000 0.297 1
Tl2 Tl 0.110 0.210 0.637 1
Tl3 Tl 0.118 0.500 0.886 1
Tl4 Tl 0.171 0.315 0.239 1
Hg1 Hg 0.000 0.500 0.500 1
Hg2 Hg 0.178 0.000 0.963 1
Hg3 Hg 0.235 0.500 0.560 1
Bi1 Bi 0.000 0.221 0.000 1
# Formation energy: 17 meV/atom
# Offset from the most stable computed form: 0.0 meV per atom
# VASP energy: -37.34 eV per formula unit

# 17
# Tl5Hg3Bi12 PBE relaxed
data_Tl5Hg3Bi12
_chemical_formula_sum 'Tl40 Hg24 Bi96'
_space_group_name_H-M_alt 'I a -3 d'
_space_group_IT_number 230
_space_group_name_Hall '-I 4bd 2c 3'
_cell_length_a 18.792
_cell_length_b 18.792
_cell_length_c 18.792
_cell_angle_alpha 90.00
_cell_angle_beta 90.00
_cell_angle_gamma 90.00
loop_
_atom_site_label
_atom_site_type_symbol
_atom_site_fract_x
_atom_site_fract_y
_atom_site_fract_z
_atom_site_occupancy
Tl1 Tl 0.000 0.000 0.000 1
Tl2 Tl 0.000 0.250 0.375 1
Hg1 Hg 0.000 0.250 0.125 1
Bi1 Bi 0.002 0.088 0.650 1
# Formation energy: 251 meV/atom
# VASP energy: -54.29 eV per formula unit

# 18
# Tl4Hg5Bi2 PBE relaxed
data_Tl4Hg5Bi2
_chemical_formula_sum 'Tl4 Hg5 Bi2'
_space_group_name_H-M_alt 'P 1 2/m 1'
_space_group_IT_number 10
_space_group_name_Hall '-P 2y'
_cell_length_a 7.918
_cell_length_b 3.458
_cell_length_c 12.186
_cell_angle_alpha 90.00
_cell_angle_beta 92.48
_cell_angle_gamma 90.00
loop_
_atom_site_label
_atom_site_type_symbol
_atom_site_fract_x
_atom_site_fract_y
_atom_site_fract_z
_atom_site_occupancy
Tl1 Tl 0.155 0.000 0.398 1
Tl2 Tl 0.300 0.000 0.940 1
Hg1 Hg 0.195 0.500 0.662 1
Hg2 Hg 0.448 0.500 0.234 1
Hg3 Hg 0.500 0.500 0.500 1
Bi1 Bi 0.072 0.500 0.132 1
# Formation energy: 4 meV/atom
# Offset from the most stable computed form: 8.2 meV per atom
# VASP energy: -18.69 eV per formula unit